1.
Computed, not measured: a crystal of DySi relaxed with PBEsol at the SCAN level of DFT.

```
DySi
1.0
3.7909 0.0000 0.0000
0.0000 4.2283 0.0000
0.0000 2.1142 5.2156
Dy Si
2 2
Direct
0.7500 0.8594 0.2811
0.2500 0.1406 0.7189
0.2500 0.4236 0.1528
0.7500 0.5764 0.8472
```

Summary:
ΔE_f (raw): -0.8595 eV per atom



2.
Computed, not measured: a crystal of DySi2 relaxed with PBEsol at the SCAN level of DFT.

```
DySi2
1.0
-2.5243 2.9587 -0.1653
-1.0157 -1.0679 -3.6030
-3.4877 -5.2766 4.6500
Si Dy
4 2
Direct
0.6686 0.1686 0.3372
0.5814 0.5814 0.1628
0.8314 0.3314 0.6628
0.4186 0.4186 0.8372
0.2500 0.7500 0.5000
0.0000 0.0000 0.0000
```

Summary:
ΔE_f (raw): -0.5202 eV per atom



3.
Computed, not measured: a crystal of DySi relaxed with PBEsol at the SCAN level of DFT.

```
DySi
1.0
-2.8580 2.3424 0.8596
-1.4757 -3.3680 4.2716
4.7118 3.9956 4.7781
Si Dy
4 4
Direct
0.7500 0.1294 0.4623
0.7500 0.3706 0.9623
0.2500 0.8706 0.5377
0.2500 0.6294 0.0377
0.7500 0.8851 0.8208
0.2500 0.3851 0.6792
0.7500 0.6149 0.3208
0.2500 0.1149 0.1792
```

Summary:
ΔE_f (raw): -0.8615 eV per atom



4.
Computed, not measured: a crystal of Dy5Si3 relaxed with PBEsol at the SCAN level of DFT.

```
Dy5Si3
1.0
-3.9394 2.2399 -4.3151
-2.2799 -7.7916 -1.9631
-4.1218 4.1871 5.9364
Dy Si
10 6
Direct
0.7500 0.0000 0.2432
0.2500 0.2432 0.2432
0.7500 0.7568 0.7568
0.7500 0.2432 0.0000
0.0000 0.6667 0.3333
0.2500 0.0000 0.7568
0.5000 0.6667 0.3333
0.5000 0.3333 0.6667
0.2500 0.7568 0.0000
0.0000 0.3333 0.6667
0.7500 0.3949 0.3949
0.7500 0.6051 0.0000
0.2500 0.0000 0.3949
0.7500 0.0000 0.6051
0.2500 0.6051 0.6051
0.2500 0.3949 0.0000
```

Summary:
ΔE_f (raw): -0.7268 eV per atom